DFT (PBE) results for a geometry-optimized Rb3LaRe structure.

Its density of states at the Fermi level is 5.0 states/eV per cell. The crystal system is cubic. The total energy comes out at -1.94 eV/atom.

The structure belongs to space group Pm-3m (No. 221); the cell edges are 7.104, 7.104 and 7.104 Å and the angles 90.00°, 90.00° and 90.00°. Symmetry generates all atoms from Rb at (0.000, 0.000, 0.500), La at (0.000, 0.000, 0.000) and Re at (0.500, 0.500, 0.500).